1.
Density functional theory data (PBE-GGA) for a geometry-optimized CeZnAu structure.

Results
**SG**: No. 216
**Spin magnetization**: 1.14 μB/f.u.
**E**: -11.626 eV for the cell shown
**DOS(E_F)**: 1.98 states/eV per atom

a = 4.7584 Å, b = 4.7584 Å, c = 4.7584 Å
α = 60.00°, β = 60.00°, γ = 60.00°
Last column: nearest neighbours and their distance in Å.
Atoms (fractional coordinates):
Ce (0.5000, 0.5000, 0.5000)  4 Au 2.91
Au (0.2500, 0.2500, 0.2500)  4 Ce 2.91, 4 Zn 2.91
Zn (0.0000, 0.0000, 0.0000)  4 Au 2.91

2.
Density functional theory data (PBE-GGA) for a geometry-optimized Ce3Zn9Au2 structure.

Results
**SG**: No. 71
**Spin magnetization**: 2.38 μB/f.u.
**E**: -40.810 eV for the cell shown
**DOS(E_F)**: 1.37 states/eV per atom

a = 4.4699 Å, b = 8.3213 Å, c = 8.3213 Å
α = 65.15°, β = 74.42°, γ = 74.42°
Last column: nearest neighbours and their distance in Å.
Atoms (fractional coordinates):
Ce (0.7013, 0.2987, 0.2987)  12 Zn 3.08-3.32, 2 Au 3.19
Ce (0.2987, 0.7013, 0.7013)  12 Zn 3.08-3.32, 2 Au 3.19
Ce (0.0000, 0.0000, 0.0000)  12 Zn 3.13-3.38
Zn (0.6657, 0.6949, 0.9737)  4 Zn 2.50-2.70, 1 Au 2.66
Zn (0.8623, 0.8548, 0.4205)  4 Zn 2.60-2.70, 2 Au 2.90
Zn (0.3343, 0.0263, 0.3051)  4 Zn 2.50-2.70, 1 Au 2.66
Zn (0.0000, 0.5000, 0.5000)  4 Zn 2.67, 4 Au 2.83
Zn (0.6657, 0.9737, 0.6949)  4 Zn 2.50-2.70, 1 Au 2.66
Zn (0.8623, 0.4205, 0.8548)  4 Zn 2.60-2.70, 2 Au 2.90
Zn (0.1377, 0.1452, 0.5795)  4 Zn 2.60-2.70, 2 Au 2.90
Zn (0.1377, 0.5795, 0.1452)  4 Zn 2.60-2.70, 2 Au 2.90
Zn (0.3343, 0.3051, 0.0263)  4 Zn 2.50-2.70, 1 Au 2.66
Au (0.5000, 0.6945, 0.3055)  8 Zn 2.66-2.90
Au (0.5000, 0.3055, 0.6945)  8 Zn 2.66-2.90

3.
Density functional theory data (PBE-GGA) for a geometry-optimized CeZn3Au structure.

Results
**SG**: No. 8
**Spin magnetization**: 0.37 μB/f.u.
**E**: -14.910 eV for the cell shown
**DOS(E_F)**: 0.94 states/eV per atom

a = 5.0445 Å, b = 5.0445 Å, c = 5.0607 Å
α = 102.94°, β = 122.85°, γ = 103.37°
Last column: nearest neighbours and their distance in Å.
Atoms (fractional coordinates):
Au (0.1021, 0.2984, 0.4005)  3 Zn 2.53-2.71
Zn (0.7976, 0.3022, 0.7059)  2 Zn 2.46-2.63, 1 Au 2.71
Zn (0.0990, 0.8960, 0.9950)  1 Au 2.53, 2 Zn 2.63-2.64
Zn (0.4037, 0.9082, 0.7059)  2 Zn 2.46-2.64, 1 Au 2.71
Ce (0.6007, 0.5983, 0.1989)  12 Zn 3.06-3.42, 4 Au 3.06-3.37

4.
Density functional theory data (PBE-GGA) for a geometry-optimized Ce2ZnAu structure.

Results
**SG**: No. 74
**Spin magnetization**: 0.03 μB/f.u.
**E**: -35.949 eV for the cell shown
**DOS(E_F)**: 1.75 states/eV per atom

a = 6.3236 Å, b = 6.3240 Å, c = 6.3240 Å
α = 61.15°, β = 60.00°, γ = 60.00°
Last column: nearest neighbours and their distance in Å.
Atoms (fractional coordinates):
Ce (0.7374, 0.2626, 0.7626)  4 Au 3.15-3.18, 4 Zn 3.15-3.18, 4 Ce 3.16-3.22
Ce (0.2374, 0.2626, 0.7626)  4 Au 3.15-3.18, 4 Zn 3.15-3.18, 4 Ce 3.16-3.22
Ce (0.2626, 0.7374, 0.2374)  4 Au 3.15-3.18, 4 Zn 3.15-3.18, 4 Ce 3.16-3.22
Ce (0.7626, 0.7374, 0.2374)  4 Au 3.15-3.18, 4 Zn 3.15-3.18, 4 Ce 3.16-3.22
Au (0.7500, 0.7690, 0.7310)  3 Zn 2.91-3.16, 8 Ce 3.15-3.18
Au (0.2500, 0.2310, 0.2690)  3 Zn 2.91-3.16, 8 Ce 3.15-3.18
Zn (0.2500, 0.7785, 0.7215)  3 Au 2.91-3.16, 8 Ce 3.15-3.18
Zn (0.7500, 0.2215, 0.2785)  3 Au 2.91-3.16, 8 Ce 3.15-3.18

5.
Density functional theory data (PBE-GGA) for a geometry-optimized Ce2ZnAu structure.

Results
**SG**: No. 123
**Spin magnetization**: 0.01 μB/f.u.
**E**: -17.964 eV for the cell shown
**DOS(E_F)**: 1.88 states/eV per atom

a = 4.4641 Å, b = 4.4864 Å, c = 4.4864 Å
α = 90.00°, β = 90.00°, γ = 90.00°
Last column: nearest neighbours and their distance in Å.
Atoms (fractional coordinates):
Au (0.5000, 0.5000, 0.5000)  8 Ce 3.16, 4 Zn 3.17
Ce (0.0000, 0.0000, 0.5000)  4 Au 3.16, 4 Zn 3.16, 4 Ce 3.17
Ce (0.0000, 0.5000, 0.0000)  4 Au 3.16, 4 Zn 3.16, 4 Ce 3.17
Zn (0.5000, 0.0000, 0.0000)  8 Ce 3.16, 4 Au 3.17

6.
Density functional theory data (PBE-GGA) for a geometry-optimized Ce2ZnAu structure.

Results
**SG**: No. 65
**Spin magnetization**: 2.00 μB/f.u.
**E**: -17.891 eV for the cell shown
**DOS(E_F)**: 3.15 states/eV per atom

a = 5.0823 Å, b = 5.0823 Å, c = 3.8140 Å
α = 90.01°, β = 90.01°, γ = 95.25°
Last column: nearest neighbours and their distance in Å.
Atoms (fractional coordinates):
Zn (0.0000, 0.5000, 0.5000)  8 Ce 3.18, 2 Au 3.43
Au (0.5000, 0.0000, 0.5000)  8 Ce 3.18, 2 Zn 3.43
Ce (0.0000, 0.0000, 0.0000)  4 Au 3.18, 4 Zn 3.18, 2 Ce 3.43
Ce (0.5000, 0.5000, 0.0000)  4 Zn 3.18, 4 Au 3.18, 2 Ce 3.43

7.
Density functional theory data (PBE-GGA) for a geometry-optimized Ce3Zn4Au2 structure.

Results
**SG**: No. 12
**Spin magnetization**: 2.19 μB/f.u.
**E**: -33.739 eV for the cell shown
**DOS(E_F)**: 1.81 states/eV per atom

a = 4.6617 Å, b = 5.7731 Å, c = 8.7280 Å
α = 114.79°, β = 90.00°, γ = 113.81°
Last column: nearest neighbours and their distance in Å.
Atoms (fractional coordinates):
Ce (0.0000, 0.0000, 0.0000)  8 Zn 3.12-3.24, 4 Au 3.15, 2 Ce 3.36
Ce (0.6730, 0.3459, 0.6631)  8 Zn 3.12-3.25, 4 Au 3.14-3.23, 2 Ce 3.36-3.45
Ce (0.3270, 0.6541, 0.3369)  8 Zn 3.12-3.25, 4 Au 3.14-3.23, 2 Ce 3.36-3.45
Zn (0.7309, 0.4618, 0.0596)  2 Zn 2.66, 1 Au 2.74
Zn (0.2691, 0.5382, 0.9404)  2 Zn 2.66, 1 Au 2.74
Zn (0.9643, 0.9285, 0.6243)  1 Zn 2.60, 2 Au 2.72
Zn (0.0357, 0.0715, 0.3757)  1 Zn 2.60, 2 Au 2.72
Au (0.6048, 0.2095, 0.2726)  3 Zn 2.72-2.74
Au (0.3952, 0.7905, 0.7274)  3 Zn 2.72-2.74

8.
Density functional theory data (PBE-GGA) for a geometry-optimized CeZn2Au structure.

Results
**SG**: No. 123
**Spin magnetization**: 0.49 μB/f.u.
**E**: -12.796 eV for the cell shown
**DOS(E_F)**: 1.21 states/eV per atom

a = 3.2742 Å, b = 3.2742 Å, c = 7.2232 Å
α = 90.00°, β = 90.00°, γ = 90.00°
Last column: nearest neighbours and their distance in Å.
Atoms (fractional coordinates):
Zn (0.0000, 0.0000, 0.2038)  4 Au 2.74, 1 Zn 2.94
Zn (0.0000, 0.0000, 0.7962)  4 Au 2.74, 1 Zn 2.94
Ce (0.5000, 0.5000, 0.5000)  8 Zn 3.15, 4 Ce 3.27
Au (0.5000, 0.5000, 0.0000)  8 Zn 2.74